Record 1
This record from the Alexandria database describes an optimized crystal structure of GeAsN2O. The functional is GGA-PBEsol.

## Properties
DOS(E_F) = 0.4218 states/eV/atom
Energy relative to the elements, uncorrected = 12.42 kcal/mol of atoms
Symmetry = No. 123
Total magnetization = 0.00 μB/cell

a = 3.741 Å, b = 3.752 Å, c = 3.752 Å
α = 90.00°, β = 90.00°, γ = 90.00°
Positions (direct):
O 0.500 0.000 0.000
As 0.000 0.000 0.000
Ge 0.500 0.500 0.500
N 0.000 0.000 0.500
N 0.000 0.500 0.000

---

Record 2
This record from the Alexandria database describes an optimized crystal structure of GeAs2SeN. The functional is GGA-PBEsol.

## Properties
DOS(E_F) = 0.7325 states/eV/atom
Energy relative to the elements, uncorrected = 39.61 kcal/mol of atoms
Symmetry = No. 123
Total magnetization = 2.19 μB/cell

a = 4.901 Å, b = 4.901 Å, c = 4.939 Å
α = 90.00°, β = 90.00°, γ = 90.00°
Positions (direct):
Se 0.000 0.000 0.500
Ge 0.000 0.000 0.000
As 0.500 0.000 0.000
As 0.000 0.500 0.000
N 0.500 0.500 0.500

---

Record 3
This record from the Alexandria database describes an optimized crystal structure of GeTeAsN2. The functional is GGA-PBEsol.

## Properties
DOS(E_F) = 0.5509 states/eV/atom
Energy relative to the elements, uncorrected = 29.01 kcal/mol of atoms
Symmetry = No. 123
Total magnetization = 0.79 μB/cell

a = 3.887 Å, b = 3.887 Å, c = 5.550 Å
α = 90.00°, β = 90.00°, γ = 90.00°
Positions (direct):
N 0.000 0.500 0.000
N 0.500 0.000 0.000
As 0.000 0.000 0.000
Ge 0.500 0.500 0.500
Te 0.000 0.000 0.500

---

Record 4
This record from the Alexandria database describes an optimized crystal structure of NaGe6As6. The functional is GGA-PBEsol.

## Properties
DOS(E_F) = 0.2437 states/eV/atom
Symmetry = No. 12
Total magnetization = 0.00 μB/cell
Energy of formation from the pure elements = -0.07 eV/atom

a = 3.801 Å, b = 7.171 Å, c = 11.190 Å
α = 93.58°, β = 99.78°, γ = 90.00°
Positions (direct):
Na 0.000 0.000 0.000
As 0.780 0.863 0.560
As 0.572 0.264 0.145
As 0.881 0.224 0.763
As 0.119 0.776 0.237
As 0.428 0.736 0.855
As 0.220 0.137 0.440
Ge 0.683 0.325 0.367
Ge 0.055 0.476 0.109
Ge 0.682 0.677 0.363
Ge 0.945 0.524 0.891
Ge 0.318 0.323 0.637
Ge 0.317 0.675 0.633